Record 1
# Tb3Sm4Ho2 (PBE, relaxed)
# Fermi-level density of states in states/eV/f.u.: 11.7
# E in eV per cell: -41.8
# Crystal system: triclinic
# Energy above the lowest structure with this stoichiometry in eV per atom: 0.000
# Calculated formation energy in meV per atom: 15
# Spin magnetization in μB/atom: 0.00
data_Tb3Sm4Ho2
_cell_length_a 6.1986
_cell_length_b 6.2072
_cell_length_c 9.4643
_cell_angle_alpha 108.97
_cell_angle_beta 90.09
_cell_angle_gamma 119.95
_symmetry_space_group_name_H-M 'P -1'
_symmetry_Int_Tables_number 2
_symmetry_space_group_name_Hall '-P 1'
loop_
_atom_site_label
_atom_site_type_symbol
_atom_site_fract_x
_atom_site_fract_y
_atom_site_fract_z
Tb1 Tb 0.0000 0.0000 0.0000
Tb2 Tb 0.4438 0.5550 0.3345
Sm1 Sm 0.1112 0.8890 0.3342
Sm2 Sm 0.3339 0.6673 0.9999
Ho1 Ho 0.2217 0.7771 0.6657


Record 2
# TbSmHo2 (PBE, relaxed)
# Fermi-level density of states in states/eV/f.u.: 7.5
# E in eV per cell: -36.9
# Crystal system: monoclinic
# Energy above the lowest structure with this stoichiometry in eV per atom: 0.003
# Calculated formation energy in meV per atom: 16
# Spin magnetization in μB/atom: 0.00
data_TbSmHo2
_cell_length_a 8.4566
_cell_length_b 3.6329
_cell_length_c 8.4614
_cell_angle_alpha 90.00
_cell_angle_beta 95.68
_cell_angle_gamma 90.00
_symmetry_space_group_name_H-M 'P 1 21/m 1'
_symmetry_Int_Tables_number 11
_symmetry_space_group_name_Hall '-P 2yb'
loop_
_atom_site_label
_atom_site_type_symbol
_atom_site_fract_x
_atom_site_fract_y
_atom_site_fract_z
Tb1 Tb 0.1652 0.2500 0.0827
Sm1 Sm 0.3328 0.7500 0.4142
Ho1 Ho 0.0831 0.2500 0.6679
Ho2 Ho 0.4158 0.7500 0.8349


Record 3
# Tb3SmHo5 (PBE, relaxed)
# Fermi-level density of states in states/eV/f.u.: 11.4
# E in eV per cell: -149.0
# Crystal system: monoclinic
# Energy above the lowest structure with this stoichiometry in eV per atom: 0.294
# Calculated formation energy in meV per atom: 472
# Spin magnetization in μB/atom: 0.00
data_Tb3SmHo5
_cell_length_a 16.0342
_cell_length_b 8.6794
_cell_length_c 11.8338
_cell_angle_alpha 90.00
_cell_angle_beta 129.31
_cell_angle_gamma 90.00
_symmetry_space_group_name_H-M 'C 1 2/m 1'
_symmetry_Int_Tables_number 12
_symmetry_space_group_name_Hall '-C 2y'
loop_
_atom_site_label
_atom_site_type_symbol
_atom_site_fract_x
_atom_site_fract_y
_atom_site_fract_z
Tb1 Tb 0.0000 0.0000 0.0000
Tb2 Tb 0.0000 0.0000 0.5000
Tb3 Tb 0.2247 0.5000 0.2935
Tb4 Tb 0.2444 0.5000 0.8065
Sm1 Sm 0.1407 0.0000 0.3548
Ho1 Ho 0.0000 0.3190 0.0000
Ho2 Ho 0.0558 0.5000 0.4010
Ho3 Ho 0.1114 0.1810 0.8266
Ho4 Ho 0.1549 0.5000 0.9741


Record 4
# Tb12Sm7Ho (PBE, relaxed)
# Fermi-level density of states in states/eV/f.u.: 24.9
# E in eV per cell: -160.3
# Crystal system: cubic
# Energy above the lowest structure with this stoichiometry in eV per atom: 0.417
# Calculated formation energy in meV per atom: 652
# Spin magnetization in μB/atom: 0.00
data_Tb12Sm7Ho
_cell_length_a 11.3236
_cell_length_b 11.3236
_cell_length_c 11.3236
_cell_angle_alpha 90.00
_cell_angle_beta 90.00
_cell_angle_gamma 90.00
_symmetry_space_group_name_H-M 'I m -3 m'
_symmetry_Int_Tables_number 229
_symmetry_space_group_name_Hall '-I 4 2 3'
loop_
_atom_site_label
_atom_site_type_symbol
_atom_site_fract_x
_atom_site_fract_y
_atom_site_fract_z
Tb1 Tb 0.0000 0.2473 0.2473
Sm1 Sm 0.0000 0.0000 0.5000
Sm2 Sm 0.2500 0.2500 0.2500
Ho1 Ho 0.0000 0.0000 0.0000


Record 5
# TbSm6Ho2 (PBE, relaxed)
# Fermi-level density of states in states/eV/f.u.: 12.8
# E in eV per cell: -42.0
# Crystal system: triclinic
# Energy above the lowest structure with this stoichiometry in eV per atom: 0.000
# Calculated formation energy in meV per atom: 16
# Spin magnetization in μB/atom: 0.00
data_TbSm6Ho2
_cell_length_a 3.6009
_cell_length_b 8.8127
_cell_length_c 9.5060
_cell_angle_alpha 90.16
_cell_angle_beta 100.88
_cell_angle_gamma 90.09
_symmetry_space_group_name_H-M 'P -1'
_symmetry_Int_Tables_number 2
_symmetry_space_group_name_Hall '-P 1'
loop_
_atom_site_label
_atom_site_type_symbol
_atom_site_fract_x
_atom_site_fract_y
_atom_site_fract_z
Tb1 Tb 0.0000 0.0000 0.0000
Sm1 Sm 0.1099 0.6655 0.2192
Sm2 Sm 0.2214 0.3338 0.4425
Sm3 Sm 0.3340 0.0005 0.6687
Ho1 Ho 0.4449 0.6676 0.8900


Record 6
# Tb7Sm2Ho (PBE, relaxed)
# Fermi-level density of states in states/eV/f.u.: 14.4
# E in eV per cell: -46.3
# Crystal system: triclinic
# Energy above the lowest structure with this stoichiometry in eV per atom: 0.000
# Calculated formation energy in meV per atom: 17
# Spin magnetization in μB/atom: 0.00
data_Tb7Sm2Ho
_cell_length_a 6.1792
_cell_length_b 6.1849
_cell_length_c 9.4386
_cell_angle_alpha 102.62
_cell_angle_beta 109.06
_cell_angle_gamma 99.56
_symmetry_space_group_name_H-M 'P -1'
_symmetry_Int_Tables_number 2
_symmetry_space_group_name_Hall '-P 1'
loop_
_atom_site_label
_atom_site_type_symbol
_atom_site_fract_x
_atom_site_fract_y
_atom_site_fract_z
Tb1 Tb 0.0000 0.0000 0.0000
Tb2 Tb 0.1992 0.4989 0.8995
Tb3 Tb 0.2000 0.9998 0.4006
Tb4 Tb 0.3997 0.5001 0.3007
Sm1 Sm 0.3999 0.9992 0.7994
Ho1 Ho 0.0000 0.5000 0.5000